## PuScHg2 (PBE-GGA)

Data for a relaxed structure of PuScHg2.

The structure in CIF format:
```
data_PuScHg2
_cell_length_a 3.4290
_cell_length_b 3.4290
_cell_length_c 29.3028
_cell_angle_alpha 90.00
_cell_angle_beta 90.00
_cell_angle_gamma 120.00
_symmetry_space_group_name_H-M 'R 3 m'
_symmetry_Int_Tables_number 160
_symmetry_space_group_name_Hall 'R 3 -2"'
loop_
_atom_site_label
_atom_site_fract_x
_atom_site_fract_y
_atom_site_fract_z
Pu1 0.0000 0.0000 0.0000
Sc1 0.0000 0.0000 0.1665
Hg1 0.0000 0.0000 0.5764
Hg2 0.0000 0.0000 0.7566
```

* magnetization: 1.4962 μB per atom
* D(E_F): 9.56 states/eV/f.u.
* offset from the most stable computed form: 128 meV per atom
* ΔH_f (0 K): -0.131 eV/atom
* DFT total energy: -5.448 eV/atom